Density functional theory data (PBE) for NbZnW3 after structural relaxation.

It has space group Pm-3m (No. 221), with a = 4.7748 Å, b = 4.7748 Å, c = 4.7748 Å, α = 90.00°, β = 90.00° and γ = 90.00°. The inequivalent atoms are Nb at (0.0000, 0.0000, 0.0000), Zn at (0.5000, 0.5000, 0.5000) and W at (0.0000, 0.0000, 0.5000).

The mass density is 10.83 g cm⁻³. The calculation puts the formation enthalpy at 0 K at 2.312 eV per atom. The calculation puts the polymorph energy (0 for the lowest one) at 537 meV per atom. Its total magnetization is 0.00 μB per atom.